# Rb4PrSb3O12, optimized geometry, DFT PBE
data_Rb4PrSb3O12
_chemical_formula_sum 'Rb8 Pr2 Sb6 O24'
_space_group_name_H-M_alt 'I m -3 m'
_space_group_IT_number 229
_space_group_name_Hall '-I 4 2 3'
_cell_length_a 8.504
_cell_length_b 8.504
_cell_length_c 8.504
_cell_angle_alpha 90.00
_cell_angle_beta 90.00
_cell_angle_gamma 90.00
loop_
_atom_site_label
_atom_site_fract_x
_atom_site_fract_y
_atom_site_fract_z
Rb1 0.250 0.250 0.250
Pr1 0.000 0.000 0.000
Sb1 0.000 0.000 0.500
O1 0.000 0.000 0.274
O2 0.000 0.250 0.500
# size of the total moment: 0.10 μB/atom
# calculated volume: 15.38 Å³/atom
# E_form (uncorrected): -31.6 eV per formula unit

=====

# Rb2PrSbO4, optimized geometry, DFT PBE
data_Rb2PrSbO4
_chemical_formula_sum 'Rb8 Pr4 Sb4 O16'
_space_group_name_H-M_alt 'I m m a'
_space_group_IT_number 74
_space_group_name_Hall '-I 2b 2'
_cell_length_a 7.463
_cell_length_b 7.520
_cell_length_c 10.550
_cell_angle_alpha 90.00
_cell_angle_beta 90.00
_cell_angle_gamma 90.00
loop_
_atom_site_label
_atom_site_fract_x
_atom_site_fract_y
_atom_site_fract_z
Rb1 0.000 0.000 0.000
Rb2 0.250 0.250 0.250
Pr1 0.000 0.000 0.500
Sb1 0.250 0.250 0.750
O1 0.000 0.041 0.731
O2 0.209 0.250 0.523
# size of the total moment: 0.00 μB/atom
# calculated volume: 18.50 Å³/atom
# E_form (uncorrected): -14.4 eV per formula unit

=====

# Rb3Pr2ScO6, optimized geometry, DFT PBE
data_Rb3Pr2ScO6
_chemical_formula_sum 'Rb6 Pr4 Sc2 O12'
_space_group_name_H-M_alt 'C 1 2/m 1'
_space_group_IT_number 12
_space_group_name_Hall '-C 2y'
_cell_length_a 6.175
_cell_length_b 10.700
_cell_length_c 6.882
_cell_angle_alpha 90.00
_cell_angle_beta 107.31
_cell_angle_gamma 90.00
loop_
_atom_site_label
_atom_site_fract_x
_atom_site_fract_y
_atom_site_fract_z
Rb1 0.000 0.000 0.000
Rb2 0.000 0.337 0.000
Pr1 0.000 0.167 0.500
Sc1 0.000 0.500 0.500
O1 0.213 0.346 0.677
O2 0.249 0.500 0.323
# size of the total moment: 0.00 μB/atom
# calculated volume: 18.09 Å³/atom
# E_form (uncorrected): -30.4 eV per formula unit

=====

Question: Which value of calculated volume does entry 3 give?
Answer: 18.09 Å³/atom